No. 1
The following is a DFT calculation (PBE) of a relaxed K3La3OsO8 crystal.

```
data_K3La3OsO8
_cell_length_a 7.1680
_cell_length_b 7.1680
_cell_length_c 18.7814
_cell_angle_alpha 90.00
_cell_angle_beta 90.00
_cell_angle_gamma 120.00
_space_group_name_H-M_alt 'R -3 m'
_space_group_IT_number 166
_space_group_name_Hall '-R 3 2"'
loop_
_atom_site_label
_atom_site_fract_x
_atom_site_fract_y
_atom_site_fract_z
K1 0.0000 0.5000 0.0000
La1 0.0000 0.5000 0.5000
Os1 0.0000 0.0000 0.5000
O1 0.0000 0.0000 0.2312
O2 0.0407 0.5203 0.2240
```

Results
Its total energy is -6.8484 eV per atom. The size of the total moment is 0.1334 μB per atom. For the energy relative to the elements, uncorrected, the calculation gives -217.1 kJ/mol of atoms.

No. 2
The following is a DFT calculation (PBE) of a relaxed LaInGa2Cl crystal.

```
data_LaInGa2Cl
_cell_length_a 5.115
_cell_length_b 5.115
_cell_length_c 5.527
_cell_angle_alpha 90.00
_cell_angle_beta 90.00
_cell_angle_gamma 90.00
_space_group_name_H-M_alt 'P 4/m m m'
_space_group_IT_number 123
_space_group_name_Hall '-P 4 2'
loop_
_atom_site_label
_atom_site_fract_x
_atom_site_fract_y
_atom_site_fract_z
La1 0.000 0.000 0.000
In1 0.500 0.500 0.500
Ga1 0.000 0.500 0.500
Cl1 0.500 0.500 0.000
```

Results
Its total energy is -3.1702 eV per atom. The size of the total moment is 0.0000 μB per atom. For the energy relative to the elements, uncorrected, the calculation gives -5.5 kJ/mol of atoms.

No. 3
The following is a DFT calculation (PBE) of a relaxed CaMn4P2 crystal.

```
data_CaMn4P2
_cell_length_a 3.816
_cell_length_b 13.036
_cell_length_c 3.786
_cell_angle_alpha 90.00
_cell_angle_beta 90.00
_cell_angle_gamma 90.00
_space_group_name_H-M_alt 'C m m m'
_space_group_IT_number 65
_space_group_name_Hall '-C 2 2'
loop_
_atom_site_label
_atom_site_fract_x
_atom_site_fract_y
_atom_site_fract_z
Ca1 0.000 0.000 0.000
Mn1 0.000 0.195 0.500
Mn2 0.000 0.301 0.000
P1 0.000 0.402 0.500
```

Results
Its total energy is -7.6319 eV per atom. The size of the total moment is 0.0003 μB per atom.

No. 4
The following is a DFT calculation (PBE) of a relaxed Ti3InBi crystal.

```
data_Ti3InBi
_cell_length_a 14.894
_cell_length_b 5.846
_cell_length_c 4.896
_cell_angle_alpha 90.00
_cell_angle_beta 90.98
_cell_angle_gamma 90.00
_space_group_name_H-M_alt 'C 1 2/m 1'
_space_group_IT_number 12
_space_group_name_Hall '-C 2y'
loop_
_atom_site_label
_atom_site_fract_x
_atom_site_fract_y
_atom_site_fract_z
Ti1 0.000 0.000 0.000
Ti2 0.000 0.000 0.500
Ti3 0.142 0.254 0.260
In1 0.057 0.500 0.753
Bi1 0.189 0.000 0.761
```

Results
Its total energy is -5.9604 eV per atom. The size of the total moment is 0.0001 μB per atom.

No. 5
The following is a DFT calculation (PBE) of a relaxed Sn4Hg3Bi2 crystal.

```
data_Sn4Hg3Bi2
_cell_length_a 8.100
_cell_length_b 4.306
_cell_length_c 15.485
_cell_angle_alpha 90.00
_cell_angle_beta 93.67
_cell_angle_gamma 90.00
_space_group_name_H-M_alt 'C 1 2/m 1'
_space_group_IT_number 12
_space_group_name_Hall '-C 2y'
loop_
_atom_site_label
_atom_site_fract_x
_atom_site_fract_y
_atom_site_fract_z
Sn1 0.005 0.000 0.340
Sn2 0.163 0.500 0.898
Hg1 0.000 0.000 0.000
Hg2 0.165 0.500 0.554
Bi1 0.168 0.500 0.224
```

Results
Its total energy is -2.6667 eV per atom. The size of the total moment is 0.0000 μB per atom.

No. 6
The following is a DFT calculation (PBE) of a relaxed SbOs2Pd2 crystal.

```
data_SbOs2Pd2
_cell_length_a 6.636
_cell_length_b 6.636
_cell_length_c 3.942
_cell_angle_alpha 90.00
_cell_angle_beta 90.00
_cell_angle_gamma 90.00
_space_group_name_H-M_alt 'P 4/m b m'
_space_group_IT_number 127
_space_group_name_Hall '-P 4 2ab'
loop_
_atom_site_label
_atom_site_fract_x
_atom_site_fract_y
_atom_site_fract_z
Sb1 0.000 0.000 0.000
Os1 0.128 0.372 0.000
Pd1 0.168 0.668 0.500
```

Results
Its total energy is -6.9665 eV per atom. The size of the total moment is 0.0000 μB per atom. For the energy relative to the elements, uncorrected, the calculation gives 41.2 kJ/mol of atoms.

No. 7
The following is a DFT calculation (PBE) of a relaxed Mn2BeRh crystal.

```
data_Mn2BeRh
_cell_length_a 5.748
_cell_length_b 5.748
_cell_length_c 5.748
_cell_angle_alpha 90.00
_cell_angle_beta 90.00
_cell_angle_gamma 90.00
_space_group_name_H-M_alt 'F -4 3 m'
_space_group_IT_number 216
_space_group_name_Hall 'F -4 2 3'
loop_
_atom_site_label
_atom_site_fract_x
_atom_site_fract_y
_atom_site_fract_z
Mn1 0.000 0.000 0.000
Mn2 0.250 0.250 0.250
Be1 0.250 0.250 0.750
Rh1 0.000 0.000 0.500
```

Results
Its total energy is -7.5329 eV per atom. The size of the total moment is 0.2320 μB per atom.

No. 8
The following is a DFT calculation (PBE) of a relaxed Sr2ScHg2 crystal.

```
data_Sr2ScHg2
_cell_length_a 7.811
_cell_length_b 7.811
_cell_length_c 5.236
_cell_angle_alpha 90.00
_cell_angle_beta 90.00
_cell_angle_gamma 90.00
_space_group_name_H-M_alt 'P 4/m b m'
_space_group_IT_number 127
_space_group_name_Hall '-P 4 2ab'
loop_
_atom_site_label
_atom_site_fract_x
_atom_site_fract_y
_atom_site_fract_z
Sr1 0.173 0.327 0.000
Sc1 0.000 0.000 0.500
Hg1 0.139 0.639 0.500
```

Results
Its total energy is -2.3385 eV per atom. The size of the total moment is 0.0000 μB per atom.